DFT (GGA-PBE) results for Li2HgMo after structural relaxation.

```
4
Lattice="2.6734 0.0000 0.0000 0.0000 4.4974 0.0000 0.0000 0.0000 5.7368" Properties=species:S:1:pos:R:3 pbc="T T T"
Li 0.0000 0.0000 0.0000
Li 1.3367 2.2487 1.3908
Hg 1.3367 2.2487 4.2258
Mo 0.0000 0.0000 2.8702
```

Energy of formation: 359 meV per atom
V: 17.24 A^3/atom
SG: Pmm2 (25)
DOS(E_F): 2.26 states/eV per cell

DFT (GGA-PBE) results for LiNiHg2Mo after structural relaxation.

```
5
Lattice="4.8414 0.0000 0.0000 0.0000 4.8414 0.0000 0.0000 0.0000 3.9777" Properties=species:S:1:pos:R:3 pbc="T T T"
Li 0.0000 0.0000 0.0000
Ni 0.0000 0.0000 1.9888
Hg 0.0000 2.4207 1.9888
Hg 2.4207 0.0000 1.9888
Mo 2.4207 2.4207 0.0000
```

Energy of formation: 964 meV per atom
V: 18.65 A^3/atom
SG: P4/mmm (123)
DOS(E_F): 9.10 states/eV per cell